Entry 1:
# TlHg2S2 PBE-GGA optimized geometry
data_TlHg2S2
_chemical_formula_sum 'Tl2 Hg4 S4'
_cell_length_a 4.334
_cell_length_b 4.334
_cell_length_c 13.987
_cell_angle_alpha 90.00
_cell_angle_beta 90.00
_cell_angle_gamma 90.00
_symmetry_space_group_name_H-M 'I 4/m m m'
_symmetry_Int_Tables_number 139
_symmetry_space_group_name_Hall '-I 4 2'
loop_
_atom_site_label
_atom_site_type_symbol
_atom_site_fract_x
_atom_site_fract_y
_atom_site_fract_z
Tl1 Tl 0.000 0.000 0.000
Hg1 Hg 0.000 0.500 0.250
S1 S 0.000 0.000 0.378
# * distance to the lowest polymorph of the same formula: 116.6 meV/atom
# * density: 8.47 g/cm³
# * crystal system: tetragonal

***

Entry 2:
# Nd9Cd2In PBE-GGA optimized geometry
data_Nd9Cd2In
_chemical_formula_sum 'Nd9 Cd2 In1'
_cell_length_a 4.990
_cell_length_b 4.990
_cell_length_c 14.927
_cell_angle_alpha 90.00
_cell_angle_beta 90.00
_cell_angle_gamma 90.00
_symmetry_space_group_name_H-M 'P 4/m m m'
_symmetry_Int_Tables_number 123
_symmetry_space_group_name_Hall '-P 4 2'
loop_
_atom_site_label
_atom_site_type_symbol
_atom_site_fract_x
_atom_site_fract_y
_atom_site_fract_z
Nd1 Nd 0.000 0.000 0.000
Nd2 Nd 0.000 0.000 0.334
Nd3 Nd 0.000 0.500 0.166
Nd4 Nd 0.000 0.500 0.500
Cd1 Cd 0.500 0.500 0.334
In1 In 0.500 0.500 0.000
# * density: 7.32 g/cm³
# * crystal system: tetragonal

***

Number 1: calculated volume 263 Å³/cell, calculated total energy -10.782 eV per formula unit. Number 2: calculated volume 372 Å³/cell, calculated total energy -49.461 eV per formula unit.